An optimized crystal structure of K2HfF6, computed with GGA-PBEsol.

Unit cell a=3.425 b=6.397 c=6.397 alpha=120.00 beta=90.00 gamma=90.00
Sites, in units of the cell vectors:
F  0.000  0.678  0.000
F  0.500  0.218  0.000
F  0.000  0.000  0.678
Hf  0.000  0.000  0.000
K  0.500  0.333  0.667
F  0.000  0.322  0.322
F  0.500  0.000  0.218
K  0.500  0.667  0.333
F  0.500  0.782  0.782

Symmetry: No. 189
Energy relative to the elements, uncorrected, eV per atom: -3.434


An optimized crystal structure of Zr2ZnCd, computed with GGA-PBEsol.

Unit cell a=2.940 b=4.028 c=6.478 alpha=90.00 beta=90.00 gamma=90.00
Sites, in units of the cell vectors:
Zn  0.500  0.500  0.500
Zr  0.000  0.000  0.734
Cd  0.500  0.500  0.000
Zr  0.000  0.000  0.266

Symmetry: No. 47
E_form, eV per atom: -0.196
Excess energy over the best structure of this formula in the dataset, meV/atom: 0


An optimized crystal structure of LiSF3, computed with GGA-PBEsol.

Unit cell a=3.635 b=3.635 c=3.635 alpha=90.00 beta=90.00 gamma=90.00
Sites, in units of the cell vectors:
Li  0.000  0.000  0.000
F  0.500  0.000  0.000
F  0.000  0.500  0.000
S  0.500  0.500  0.500
F  0.000  0.000  0.500

Symmetry: No. 221
Energy relative to the elements, uncorrected, eV per atom: -1.064
Excess energy over the best structure of this formula in the dataset, meV/atom: 107


An optimized crystal structure of AlReNi2, computed with GGA-PBEsol.

Unit cell a=2.592 b=3.980 c=4.911 alpha=90.00 beta=105.33 gamma=90.00
Sites, in units of the cell vectors:
Ni  0.948  0.500  0.270
Ni  0.800  0.000  0.974
Re  0.541  0.000  0.456
Al  0.212  0.500  0.800

Symmetry: No. 38
E_form, eV per atom: -0.218


Number 1: density of states at the Fermi level 0.00 states/eV/cell, total energy -55.24 eV/cell. Number 2: density of states at the Fermi level 2.71 states/eV/cell, total energy -21.74 eV/cell. Number 3: density of states at the Fermi level 1.90 states/eV/cell, total energy -17.46 eV/cell. Number 4: density of states at the Fermi level 3.16 states/eV/cell, total energy -30.61 eV/cell.